Here is an optimized crystal structure of AcZrBO5 from Alexandria. Energies are from PBE-GGA.

As for the energy relative to the elements, uncorrected: -2.99 eV/atom. The value obtained for the total energy is -136.1 eV per cell.

The structure in POSCAR format:
```
AcZrBO5
1.0
-2.775 -4.130 -2.663
3.760 -2.451 3.421
-5.049 2.474 4.740
Ac Zr B O
2 2 2 10
Cartesian
0.240 -2.413 2.504
-4.303 -1.694 2.995
-2.524 1.237 2.370
0.000 0.000 0.000
-1.983 -2.984 0.434
-2.080 -1.123 5.064
1.940 -1.976 4.087
-6.004 -2.131 1.412
-1.922 -4.056 -0.651
-2.141 -0.051 6.150
-3.312 -2.237 0.339
-0.752 -1.870 5.159
-1.884 -3.566 1.861
-2.180 -0.541 3.638
-0.761 -2.062 0.239
-3.303 -2.045 5.260
```